# CdGaCu3Se4 GGA-PBE relaxed
# SG = P-43m
# E = -3.540 eV/atom
# Size of the total moment = 0.00 μB per formula unit
# Density of states at the Fermi level = 4.05 states/eV/f.u.
# ΔE_f (raw) = -0.19 eV/atom
data_CdGaCu3Se4
_chemical_formula_sum 'Cd1 Ga1 Cu3 Se4'
_cell_length_a 5.9090
_cell_length_b 5.9090
_cell_length_c 5.9090
_cell_angle_alpha 90.00
_cell_angle_beta 90.00
_cell_angle_gamma 90.00
_symmetry_space_group_name_H-M 'P 1'
_symmetry_Int_Tables_number 1
_symmetry_space_group_name_Hall 'P 1'
loop_
_atom_site_label
_atom_site_type_symbol
_atom_site_fract_x
_atom_site_fract_y
_atom_site_fract_z
_atom_site_occupancy
Ga1 Ga 0.0000 0.0000 0.0000 1
Cd1 Cd 0.5000 0.5000 0.5000 1
Se1 Se 0.7597 0.2403 0.7597 1
Se2 Se 0.2403 0.7597 0.7597 1
Cu1 Cu 0.5000 0.0000 0.0000 1
Cu2 Cu 0.0000 0.0000 0.5000 1
Cu3 Cu 0.0000 0.5000 0.0000 1
Se3 Se 0.7597 0.7597 0.2403 1
Se4 Se 0.2403 0.2403 0.2403 1